Entry 1:
First-principles (PBE-GGA) data for RbHgTe after structural relaxation, as listed in the Alexandria database.

Output
Its formation energy (no corrections) is -0.387 eV per atom. As for the energy relative to the lowest polymorph listed for this composition: 207.1 meV per atom. Its density of states at the Fermi level is 4.88 states/eV per cell. For the total magnetic moment, the calculation gives 0.00 μB per formula unit.

Unit cell a=4.3377 b=4.3377 c=12.0267 alpha=90.00 beta=90.00 gamma=90.00
Last column: nearest neighbours and their distance in Å.
Space group I4mm (No. 107)
Symmetry-distinct sites (fractional):
Rb: 0.0000 0.0000 0.0000  1 Hg 3.49, 1 Te 3.60
Hg: 0.0000 0.0000 0.2898  4 Te 3.25, 1 Rb 3.49
Te: 0.0000 0.0000 0.7009  4 Hg 3.25, 1 Rb 3.60


Entry 2:
First-principles (PBE-GGA) data for Rb3HgTe2 after structural relaxation, as listed in the Alexandria database.

Output
Its formation energy (no corrections) is -0.705 eV per atom. Its density of states at the Fermi level is 12.55 states/eV per cell. For the total magnetic moment, the calculation gives 0.94 μB per formula unit.

Unit cell a=8.4846 b=15.9343 c=9.3220 alpha=90.00 beta=90.00 gamma=90.00
Last column: nearest neighbours and their distance in Å.
Space group Ibam (No. 72)
Symmetry-distinct sites (fractional):
Rb: 0.0000 0.0000 0.2500  4 Te 3.67
Rb: 0.0000 0.2748 0.2500  4 Te 3.62-3.80
Hg: 0.0000 0.5000 0.0000  2 Te 3.11
Te: 0.2269 0.1306 0.0000  1 Hg 3.11


Entry 3:
First-principles (PBE-GGA) data for Rb3HgTe after structural relaxation, as listed in the Alexandria database.

Output
Its formation energy (no corrections) is -0.512 eV per atom. As for the energy relative to the lowest polymorph listed for this composition: 79.2 meV per atom. Its density of states at the Fermi level is 5.82 states/eV per cell. For the total magnetic moment, the calculation gives 0.00 μB per formula unit.

Unit cell a=7.0413 b=7.0413 c=7.0413 alpha=90.00 beta=90.00 gamma=90.00
Last column: nearest neighbours and their distance in Å.
Space group Pm-3m (No. 221)
Symmetry-distinct sites (fractional):
Rb: 0.0000 0.0000 0.5000  2 Te 3.52
Hg: 0.5000 0.5000 0.5000  12 Rb 4.98
Te: 0.0000 0.0000 0.0000  6 Rb 3.52


Entry 4:
First-principles (PBE-GGA) data for RbHgTe after structural relaxation, as listed in the Alexandria database.

Output
Its formation energy (no corrections) is -0.412 eV per atom. As for the energy relative to the lowest polymorph listed for this composition: 182.7 meV per atom. Its density of states at the Fermi level is 6.69 states/eV per cell. For the total magnetic moment, the calculation gives 0.00 μB per formula unit.

Unit cell a=8.0442 b=8.0442 c=8.0442 alpha=90.00 beta=90.00 gamma=90.00
Last column: nearest neighbours and their distance in Å.
Space group F-43m (No. 216)
Symmetry-distinct sites (fractional):
Rb: 0.0000 0.0000 0.0000  4 Te 3.48
Hg: 0.0000 0.0000 0.5000  4 Te 3.48
Te: 0.2500 0.2500 0.2500  4 Hg 3.48, 4 Rb 3.48


Entry 5:
First-principles (PBE-GGA) data for Rb3Hg5Te2 after structural relaxation, as listed in the Alexandria database.

Output
Its formation energy (no corrections) is -0.447 eV per atom. Its density of states at the Fermi level is 4.36 states/eV per cell. For the total magnetic moment, the calculation gives 0.00 μB per formula unit.

Unit cell a=13.9812 b=14.7836 c=7.5313 alpha=90.00 beta=90.00 gamma=90.00
Last column: nearest neighbours and their distance in Å.
Space group Ibam (No. 72)
Symmetry-distinct sites (fractional):
Rb: 0.0000 0.0000 0.2500  4 Te 3.62, 2 Hg 3.75, 2 Rb 3.77
Rb: 0.2310 0.3723 0.0000  4 Te 3.67-4.04, 3 Hg 4.02-4.09
Hg: 0.0000 0.2540 0.2500  2 Hg 3.10
Hg: 0.0000 0.5000 0.2500  4 Hg 3.08
Hg: 0.1174 0.3781 0.5000  1 Te 2.93, 4 Hg 3.08-3.10
Te: 0.1735 0.1300 0.0000  1 Hg 2.93


Entry 6:
First-principles (PBE-GGA) data for Rb2HgTe3 after structural relaxation, as listed in the Alexandria database.

Output
Its formation energy (no corrections) is -0.604 eV per atom. As for the energy relative to the lowest polymorph listed for this composition: 0.0 meV per atom. For the total magnetic moment, the calculation gives 0.00 μB per formula unit.

Unit cell a=7.9558 b=5.0242 c=25.5024 alpha=90.00 beta=90.00 gamma=90.00
Last column: nearest neighbours and their distance in Å.
Space group Pnma (No. 62)
Symmetry-distinct sites (fractional):
Rb: 0.1636 0.2500 0.0739  7 Te 3.68-4.01, 2 Hg 3.83
Rb: 0.2412 0.2500 0.2754  8 Te 3.82-4.01, 2 Rb 4.18
Hg: 0.0242 0.7500 0.4414  4 Te 2.87-2.98
Te: 0.0721 0.7500 0.1755  1 Te 2.78
Te: 0.0795 0.2500 0.6663  1 Te 2.78, 1 Hg 2.87
Te: 0.2073 0.2500 0.4678  3 Hg 2.96-2.98


Entry 7:
First-principles (PBE-GGA) data for Rb2HgTe6 after structural relaxation, as listed in the Alexandria database.

Output
Its formation energy (no corrections) is -0.315 eV per atom. Its density of states at the Fermi level is 4.16 states/eV per cell. For the total magnetic moment, the calculation gives 0.00 μB per formula unit.

Unit cell a=9.4579 b=11.7059 c=6.5674 alpha=90.00 beta=92.28 gamma=90.00
Last column: nearest neighbours and their distance in Å.
Space group C2/m (No. 12)
Symmetry-distinct sites (fractional):
Rb: 0.1886 0.0000 0.3125  1 Hg 3.66, 10 Te 3.88-4.08
Hg: 0.0000 0.5000 0.0000  2 Rb 3.66, 4 Te 3.92
Te: 0.0000 0.2834 0.5000  2 Te 2.87
Te: 0.1813 0.1962 0.8255  2 Te 2.87-2.88


Entry 8:
First-principles (PBE-GGA) data for RbHg5Te4 after structural relaxation, as listed in the Alexandria database.

Output
Its formation energy (no corrections) is -0.209 eV per atom. Its density of states at the Fermi level is 6.88 states/eV per cell. For the total magnetic moment, the calculation gives 0.00 μB per formula unit.

Unit cell a=9.7259 b=13.1690 c=5.8282 alpha=90.00 beta=90.00 gamma=90.00
Last column: nearest neighbours and their distance in Å.
Space group Pmmn (No. 59, origin choice 2)
Symmetry-distinct sites (fractional):
Rb: 0.2500 0.2500 0.0067  6 Te 3.68-3.87
Hg: 0.0563 0.5539 0.6842  1 Hg 2.80, 2 Te 2.84-2.91
Hg: 0.2500 0.7500 0.2669  4 Te 2.86-3.00
Te: 0.0133 0.2500 0.5138  3 Hg 2.86-2.91
Te: 0.2500 0.5435 0.0478  3 Hg 2.84-3.00